Material: SrCdOs2
Method: DFT, PBE
State: optimized geometry

```
SrCdOs2
1.0
5.494 -0.011 0.000
2.404 4.940 0.000
-3.949 -2.465 2.918
Sr Os Cd
1 2 1
Cartesian
1.202 2.470 1.459
0.000 0.000 0.000
3.949 2.465 0.000
2.747 -0.005 1.459
```

---

Material: Pr2In8Ni
Method: DFT, PBE
State: optimized geometry

```
Pr2In8Ni
1.0
4.699 0.000 0.000
0.000 4.699 0.000
0.000 0.000 12.366
In Ni Pr
8 1 2
Cartesian
2.350 0.000 6.183
2.350 0.000 10.903
0.000 2.350 10.903
2.350 2.350 3.810
0.000 2.350 1.464
0.000 2.350 6.183
2.350 2.350 8.557
2.350 0.000 1.464
0.000 0.000 0.000
0.000 0.000 8.582
0.000 0.000 3.785
```

---

Computed values of formation energy (unit: eV/f.u.) for the preceding records, in sequence: 4.33, -4.14.